1.
# RbBr3

A geometry-optimized RbBr3 structure (PBE, Alexandria).

It has space group R-3m (No. 166, hexagonal axes), with a = 5.5886 Å, b = 5.5886 Å, c = 16.2554 Å, α = 90.00°, β = 90.00° and γ = 120.00°. The distinct sites, in fractional coordinates, are Rb at (0.0000, 0.0000, 0.0000), Br at (0.0000, 0.0000, 0.2054) and Br at (0.0000, 0.0000, 0.5000).

Its uncorrected formation energy is -0.54 eV/atom.

2.
# ZrV2Bi

A geometry-optimized ZrV2Bi structure (PBE, Alexandria).

It has space group I-42d (No. 122), with a = 4.0643 Å, b = 4.0643 Å, c = 19.8707 Å, α = 90.00°, β = 90.00° and γ = 90.00°. The distinct sites, in fractional coordinates, are Zr at (0.0000, 0.0000, 0.0000), V at (0.2422, 0.2500, 0.6250) and Bi at (0.0000, 0.0000, 0.5000).

The calculation puts the formation enthalpy at 0 K at 0.65 eV/atom.

3.
# TcPb3

A geometry-optimized TcPb3 structure (PBE, Alexandria).

It has space group Cmmm (No. 65), with a = 6.8301 Å, b = 8.9004 Å, c = 3.3965 Å, α = 90.00°, β = 90.00° and γ = 90.00°. The distinct sites, in fractional coordinates, are Tc at (0.0000, 0.0000, 0.0000), Pb at (0.0000, 0.5000, 0.0000) and Pb at (0.2500, 0.2500, 0.5000).

The calculation puts the formation enthalpy at 0 K at 0.71 eV/atom. The calculation puts the energy above the most stable polymorph in this dataset at 407 meV per atom.